The following is a PBE-GGA calculation of YSb2Mo after structural relaxation, from the Alexandria database.

Its space group is P2/m (10). For the energy above the lowest structure with this stoichiometry, the calculation gives 177 meV per atom. The density of states at the Fermi level comes out at 3.63 states/eV per cell.

Cell: 3.561 4.519 5.878 Å, 90.00 97.80 90.00°
Fractional coordinates of all 4 atoms:
Y: 0.000 0.000 0.000
Sb: 0.357 0.500 0.738
Sb: 0.643 0.500 0.262
Mo: 0.500 0.000 0.500

The following is a PBE-GGA calculation of YSbMo2 after structural relaxation, from the Alexandria database.

Its space group is I-4m2 (119). The uncorrected energy is -31.433 eV for the cell shown. The density of states at the Fermi level comes out at 2.11 states/eV per cell.

Cell: 5.033 5.033 5.033 Å, 127.15 127.15 78.00°
Fractional coordinates of all 4 atoms:
Y: 0.000 0.000 0.000
Sb: 0.750 0.250 0.500
Mo: 0.250 0.750 0.500
Mo: 0.500 0.500 0.000